The following is a PBE calculation of an optimized crystal structure of Mn2NbPd2, from the Alexandria database.

calculated volume = 14.4 Å³/atom
ΔH_f (0 K) = 0.182 eV/atom
magnetization = 0.369 Bohr magnetons per cell
E above lowest polymorph = 0.00 kcal/mol of atoms

Unit cell a=7.2490 b=7.2490 c=2.7386 alpha=90.00 beta=90.00 gamma=90.00
With the nearest neighbours (Å) after each atom.
Fractional positions:
Pd (0.8099, 0.3099, 0.5000)  6 Mn 2.54-2.60, 2 Pd 2.74
Pd (0.1901, 0.6901, 0.5000)  6 Mn 2.54-2.60, 2 Pd 2.74
Pd (0.3099, 0.1901, 0.5000)  6 Mn 2.54-2.60, 2 Pd 2.74
Pd (0.6901, 0.8099, 0.5000)  6 Mn 2.54-2.60, 2 Pd 2.74
Nb (0.0000, 0.0000, 0.0000)  2 Nb 2.74, 8 Pd 2.97, 4 Mn 2.98
Nb (0.5000, 0.5000, 0.0000)  2 Nb 2.74, 8 Pd 2.97, 4 Mn 2.98
Mn (0.8991, 0.6009, 0.0000)  1 Mn 2.07
Mn (0.3991, 0.8991, 0.0000)  1 Mn 2.07
Mn (0.1009, 0.3991, 0.0000)  1 Mn 2.07
Mn (0.6009, 0.1009, 0.0000)  1 Mn 2.07



The following is a PBE calculation of an optimized crystal structure of TbPdAu, from the Alexandria database.

calculated volume = 21.3 Å³/atom
ΔH_f (0 K) = -0.752 eV/atom
magnetization = 0.000 Bohr magnetons per cell
E above lowest polymorph = 2.12 kcal/mol of atoms

Unit cell a=3.4060 b=4.6495 c=4.6495 alpha=120.00 beta=90.00 gamma=90.00
With the nearest neighbours (Å) after each atom.
Fractional positions:
Au (0.1679, 0.0000, 0.0000)  3 Pd 2.68
Tb (0.6669, 0.6667, 0.3333)  6 Pd 3.18, 6 Au 3.18, 2 Tb 3.41
Pd (0.1653, 0.3333, 0.6667)  3 Au 2.68